[1]
# TmSc2Ti | Alexandria via LeMat-Bulk | GGA-PBE | relaxed
# offset from the most stable computed form: 0.0245 eV per atom
# ΔE_f: 0.151 eV/atom
# energy: -6.107 eV/atom
data_TmSc2Ti
_cell_length_a 4.539
_cell_length_b 4.539
_cell_length_c 4.593
_cell_angle_alpha 90.00
_cell_angle_beta 90.00
_cell_angle_gamma 90.00
_symmetry_space_group_name_H-M 'P 4/m m m'
_symmetry_Int_Tables_number 123
_symmetry_space_group_name_Hall '-P 4 2'
loop_
_atom_site_label
_atom_site_type_symbol
_atom_site_fract_x
_atom_site_fract_y
_atom_site_fract_z
Tm1 Tm 0.000 0.000 0.000
Sc1 Sc 0.000 0.500 0.500
Ti1 Ti 0.500 0.500 0.000

---

[2]
# Hf2TiN | Alexandria via LeMat-Bulk | GGA-PBE | relaxed
# E_form (uncorrected): -0.222 eV per atom
# energy: -9.254 eV/atom
data_Hf2TiN
_cell_length_a 2.916
_cell_length_b 2.916
_cell_length_c 7.383
_cell_angle_alpha 90.00
_cell_angle_beta 90.00
_cell_angle_gamma 90.00
_symmetry_space_group_name_H-M 'P 4/m m m'
_symmetry_Int_Tables_number 123
_symmetry_space_group_name_Hall '-P 4 2'
loop_
_atom_site_label
_atom_site_type_symbol
_atom_site_fract_x
_atom_site_fract_y
_atom_site_fract_z
Hf1 Hf 0.000 0.000 0.189
Ti1 Ti 0.500 0.500 0.500
N1 N 0.500 0.500 0.000